Entry 1:
The following is a DFT calculation (PBE) of a geometry-optimized Co4Os5 structure.

Cell: 7.839 7.839 3.747 Å, 90.00 90.00 90.00°
Space group I4/mmm (No. 139)
Inequivalent atoms, fractional coordinates:
Co (0.000, 0.331, 0.000) (multiplicity 8)
Os (0.000, 0.000, 0.000) (multiplicity 2)
Os (0.169, 0.169, 0.500) (multiplicity 8)


Entry 2:
The following is a DFT calculation (PBE) of a geometry-optimized Co2Os structure.

Calculated values
relative energy among the computed polymorphs = 249 meV per atom

Cell: 2.597 2.597 22.147 Å, 90.00 90.00 90.00°
Space group I4_1/amd (No. 141, origin choice 2)
Inequivalent atoms, fractional coordinates:
Co (0.000, 0.250, 0.296) (multiplicity 8)
Os (0.000, 0.250, 0.875) (multiplicity 4)


Entry 3:
The following is a DFT calculation (PBE) of a geometry-optimized Co2Os structure.

Calculated values
relative energy among the computed polymorphs = 57 meV per atom

Cell: 3.9972 3.9972 2.5416 Å, 90.00 90.00 120.00°
Space group P6/mmm (No. 191)
Inequivalent atoms, fractional coordinates:
Co (0.3333, 0.6667, 0.0000) (multiplicity 2)
Os (0.0000, 0.0000, 0.5000) (multiplicity 1)


Entry 4:
The following is a DFT calculation (PBE) of a geometry-optimized Co5Os3 structure.

Calculated values
relative energy among the computed polymorphs = 79 meV per atom

Cell: 7.2212 7.2212 4.5025 Å, 90.00 90.00 120.00°
Space group P6_3/mcm (No. 193)
Inequivalent atoms, fractional coordinates:
Co (0.0000, 0.1938, 0.2500) (multiplicity 6)
Co (0.3333, 0.6667, 0.0000) (multiplicity 4)
Os (0.0000, 0.4079, 0.7500) (multiplicity 6)


Entry 5:
The following is a DFT calculation (PBE) of a geometry-optimized Co2Os structure.

Calculated values
relative energy among the computed polymorphs = 1039 meV per atom

Cell: 5.591 5.591 5.591 Å, 90.00 90.00 90.00°
Space group Pa-3 (No. 205)
Inequivalent atoms, fractional coordinates:
Co (0.115, 0.115, 0.115) (multiplicity 8)
Os (0.000, 0.000, 0.500) (multiplicity 4)


Entry 6:
The following is a DFT calculation (PBE) of a geometry-optimized Co2Os structure.

Calculated values
relative energy among the computed polymorphs = 94 meV per atom

Cell: 2.6213 2.6213 6.2051 Å, 90.00 90.00 120.00°
Space group P-3m1 (No. 164)
Inequivalent atoms, fractional coordinates:
Co (0.3333, 0.6667, 0.1579) (multiplicity 2)
Os (0.0000, 0.0000, 0.5000) (multiplicity 1)


Listing energy of formation for the structures above in their given order: 1.5 1.0 0.5 3.5 3.4 0.6 eV per formula unit.
Listing total magnetic moment for the structures above in their given order: 0.00 0.00 0.71 2.12 0.03 2.90 μB per formula unit.